No. 1
This record from Alexandria via LeMat-Bulk describes Rb5Sr3Hg12 after structural relaxation. The functional is PBE-GGA.

The value obtained for the total energy is -17.50 eV/f.u. The value obtained for the formation energy from the elements is -4.0 eV per formula unit.

Cell: 17.392 17.392 17.392 Å, 109.47 109.47 109.47°
Atoms (fractional coordinates):
Hg1 0.904 0.569 0.138
Sr1 0.875 0.125 0.250
Hg2 0.096 0.431 0.862
Sr2 0.375 0.625 0.250
Rb1 0.000 0.500 0.000
Hg3 0.638 0.234 0.569
Hg4 0.931 0.069 0.835
Hg5 0.096 0.665 0.734
Hg6 0.569 0.835 0.431
Sr3 0.750 0.875 0.625
Rb2 0.250 0.875 0.125
Hg7 0.734 0.569 0.138
Rb3 0.875 0.625 0.750
Hg8 0.138 0.069 0.734
Rb4 0.375 0.250 0.125
Hg9 0.665 0.569 0.931
Sr4 0.250 0.125 0.375
Hg10 0.165 0.431 0.069
Hg11 0.069 0.931 0.165
Rb5 0.000 0.000 0.500
Hg12 0.069 0.138 0.234
Sr5 0.875 0.750 0.125
Sr6 0.125 0.875 0.750
Rb6 0.625 0.875 0.250
Sr7 0.750 0.375 0.125
Rb7 0.500 0.000 0.500
Rb8 0.000 0.000 0.000
Hg13 0.404 0.766 0.835
Rb9 0.250 0.375 0.625
Rb10 0.500 0.000 0.000
Hg14 0.596 0.234 0.165
Hg15 0.234 0.596 0.665
Hg16 0.404 0.638 0.069
Hg17 0.665 0.096 0.234
Hg18 0.931 0.862 0.766
Hg19 0.335 0.904 0.766
Hg20 0.431 0.266 0.362
Hg21 0.362 0.766 0.431
Hg22 0.431 0.335 0.569
Hg23 0.335 0.431 0.069
Rb11 0.625 0.750 0.875
Hg24 0.596 0.362 0.931
Hg25 0.638 0.404 0.569
Rb12 0.875 0.250 0.625
Rb13 0.500 0.500 0.000
Hg26 0.431 0.165 0.569
Hg27 0.569 0.734 0.638
Rb14 0.125 0.750 0.375
Hg28 0.569 0.904 0.638
Sr8 0.125 0.250 0.875
Hg29 0.234 0.638 0.069
Sr9 0.625 0.250 0.375
Sr10 0.625 0.375 0.750
Hg30 0.266 0.431 0.862
Hg31 0.862 0.931 0.096
Sr11 0.250 0.625 0.875
Hg32 0.835 0.569 0.931
Hg33 0.931 0.862 0.596
Hg34 0.431 0.096 0.362
Hg35 0.165 0.734 0.596
Hg36 0.362 0.596 0.431
Sr12 0.375 0.750 0.625
Hg37 0.766 0.404 0.335
Rb15 0.000 0.500 0.500
Hg38 0.862 0.931 0.266
Hg39 0.835 0.266 0.404
Rb16 0.125 0.375 0.250
Hg40 0.766 0.362 0.931
Hg41 0.138 0.069 0.904
Rb17 0.750 0.625 0.375
Rb18 0.500 0.500 0.500
Rb19 0.375 0.125 0.750
Hg42 0.069 0.931 0.335
Rb20 0.750 0.125 0.875
Hg43 0.931 0.069 0.665
Hg44 0.069 0.138 0.404
Hg45 0.266 0.835 0.904
Hg46 0.904 0.335 0.266
Hg47 0.734 0.165 0.096
Hg48 0.569 0.665 0.431

***

No. 2
This record from Alexandria via LeMat-Bulk describes Rb2SrHg10 after structural relaxation. The functional is PBE-GGA.

The value obtained for the total energy is -9.70 eV/f.u. The value obtained for the formation energy from the elements is -3.1 eV per formula unit.

Cell: 6.225 5.792 24.273 Å, 90.00 90.00 102.88°
Atoms (fractional coordinates):
Rb1 0.587 0.351 0.822
Hg1 0.906 0.991 0.410
Hg2 0.859 0.860 0.276
Hg3 0.141 0.140 0.724
Hg4 0.456 0.646 0.416
Hg5 0.094 0.009 0.590
Sr1 0.000 0.500 0.500
Hg6 0.859 0.360 0.224
Hg7 0.906 0.491 0.090
Hg8 0.094 0.509 0.910
Hg9 0.017 0.006 0.857
Hg10 0.983 0.494 0.357
Hg11 0.544 0.354 0.584
Rb2 0.587 0.851 0.678
Hg12 0.355 0.637 0.031
Hg13 0.645 0.863 0.531
Hg14 0.355 0.137 0.469
Sr2 0.000 0.000 0.000
Hg15 0.141 0.640 0.776
Hg16 0.983 0.994 0.143
Rb3 0.413 0.649 0.178
Hg17 0.544 0.854 0.916
Hg18 0.645 0.363 0.969
Hg19 0.456 0.146 0.084
Rb4 0.413 0.149 0.322
Hg20 0.017 0.506 0.643

***

No. 3
This record from Alexandria via LeMat-Bulk describes Rb3SrHg after structural relaxation. The functional is PBE-GGA.

The value obtained for the total energy is -4.59 eV/f.u. Its energy above the most stable polymorph in this dataset is 0 meV per atom. The value obtained for the formation energy from the elements is 0.3 eV per formula unit.

Cell: 7.043 7.043 7.043 Å, 90.00 90.00 90.00°
Atoms (fractional coordinates):
Sr1 0.500 0.500 0.500
Hg1 0.000 0.000 0.000
Rb1 0.500 0.000 0.000
Rb2 0.000 0.500 0.000
Rb3 0.000 0.000 0.500

***

No. 4
This record from Alexandria via LeMat-Bulk describes RbSrHg4 after structural relaxation. The functional is PBE-GGA.

The value obtained for the total energy is -5.83 eV/f.u. Its energy above the most stable polymorph in this dataset is 0 meV per atom. The value obtained for the formation energy from the elements is -2.0 eV per formula unit.

Cell: 4.215 5.207 9.125 Å, 90.00 90.00 90.00°
Atoms (fractional coordinates):
Hg1 0.499 0.497 0.337
Hg2 0.499 0.497 0.659
Hg3 0.499 0.997 0.828
Hg4 0.499 0.997 0.168
Sr1 0.999 0.997 0.498
Rb1 0.999 0.497 0.998